Here is crystalline AcFe2OsO8 at its relaxed geometry from Alexandria. Energies are from PBE+U.

Unit cell a=6.3551 b=7.4654 c=6.9938 alpha=90.00 beta=90.00 gamma=90.00
Last column: nearest neighbours and their distance in Å.
Space group Cmmm (No. 65)
One atom of each set of equivalent atoms:
Ac: 0.0000 0.0000 0.0000 x2  6 O 2.47-2.50
Fe: 0.0000 0.5000 0.2165 x4  4 O 1.90-1.97
Os: 0.0000 0.0000 0.5000 x2  6 O 1.80-1.96
O: 0.0000 0.2405 0.5000 x4  1 Os 1.80
O: 0.0000 0.3309 0.0000 x4  2 Fe 1.97
O: 0.2153 0.0000 0.2986 x8  1 Fe 1.90, 1 Os 1.96

## Properties
energy: -85.21 eV/f.u.
DOS at the Fermi energy: 0.55 states/eV/f.u.
spin magnetization: 18.02 μB per cell